A geometry-optimized BiAu structure. Source: Alexandria via LeMat-Bulk, functional PBE. Values from VASP.

Values from the calculation:
- uncorrected energy (eV/atom) = -3.5513
- ΔE_f (eV per atom) = 0.03

```
&SYSTEM
  ibrav = 0, nat = 12, ntyp = 2
/
ATOMIC_SPECIES
Bi 208.98 Bi.upf
Au 196.97 Au.upf
CELL_PARAMETERS angstrom
4.2340 0.0000 0.0000
0.0000 7.2011 0.0000
0.0000 0.0000 10.2489
ATOMIC_POSITIONS angstrom
Bi 0.0000 4.8006 8.5407
Bi 2.1170 2.4005 6.8326
Bi 2.1170 2.4005 3.4163
Bi 0.0000 4.8006 1.7082
Bi 0.0000 4.8006 5.1245
Bi 2.1170 2.4004 0.0000
Au 0.0000 0.4495 6.8326
Au 2.1170 6.7516 8.5407
Au 2.1170 6.7516 1.7082
Au 0.0000 0.4495 3.4163
Au 0.0000 0.4491 0.0000
Au 2.1170 6.7519 5.1245
```